# TaAg2P | Alexandria via LeMat-Bulk | PBE-GGA | relaxed
# ρ	9.7	g cm⁻³
# ΔE_f	0.357	eV per atom
data_TaAg2P
_space_group_name_H-M_alt 'P 1'
_space_group_IT_number 1
_space_group_name_Hall 'P 1'
_cell_length_a 6.0114
_cell_length_b 6.0114
_cell_length_c 6.0114
_cell_angle_alpha 148.36
_cell_angle_beta 139.83
_cell_angle_gamma 52.01
loop_
_atom_site_label
_atom_site_type_symbol
_atom_site_fract_x
_atom_site_fract_y
_atom_site_fract_z
P1 P 0.4715 0.4715 0.0000
Ag1 Ag 0.6998 0.1998 0.5000
Ta1 Ta 0.3066 0.8066 0.5000
Ag2 Ag 0.0221 0.0221 0.0000